Computed, not measured: crystalline LiHfSi2 at its relaxed geometry at the PBE-GGA level of DFT.

Unit cell a=6.894 b=6.894 c=5.446 alpha=90.00 beta=90.00 gamma=90.00
Space group I-42d (No. 122)
Inequivalent atoms, fractional coordinates:
Li 0.000 0.000 0.000 [4 per cell]
Hf 0.000 0.000 0.500 [4 per cell]
Si 0.214 0.250 0.125 [8 per cell]

The value obtained for the magnetic moment is 0.0 μB per cell. For the energy above the most stable polymorph in this dataset, the calculation gives 328 meV per atom. Its formation energy from raw total energies is 0.0 eV/f.u. Its total energy is -5.68 eV/atom. The value obtained for the density of states at the Fermi level is 0.59 states/eV per atom.